Record 1
# PBEsol CaPdO2, relaxed
# DOS at the Fermi energy: 0.409 states/eV per atom
# Final energy: -92.747 eV for the cell shown
data_CaPdO2
_space_group_name_H-M_alt 'F m -3 m'
_space_group_IT_number 225
_space_group_name_Hall '-F 4 2 3'
_cell_length_a 5.684
_cell_length_b 5.684
_cell_length_c 5.684
_cell_angle_alpha 90.00
_cell_angle_beta 90.00
_cell_angle_gamma 90.00
loop_
_atom_site_label
_atom_site_type_symbol
_atom_site_fract_x
_atom_site_fract_y
_atom_site_fract_z
Ca1 Ca 0.000 0.000 0.000
Pd1 Pd 0.000 0.000 0.500
O1 O 0.250 0.250 0.250


Record 2
# PBEsol CaPd3O4, relaxed
# DOS at the Fermi energy: 0.141 states/eV per atom
# Final energy: -101.687 eV for the cell shown
data_CaPd3O4
_space_group_name_H-M_alt 'P m -3 n'
_space_group_IT_number 223
_space_group_name_Hall '-P 4n 2 3'
_cell_length_a 5.727
_cell_length_b 5.727
_cell_length_c 5.727
_cell_angle_alpha 90.00
_cell_angle_beta 90.00
_cell_angle_gamma 90.00
loop_
_atom_site_label
_atom_site_type_symbol
_atom_site_fract_x
_atom_site_fract_y
_atom_site_fract_z
Ca1 Ca 0.000 0.000 0.000
Pd1 Pd 0.000 0.250 0.500
O1 O 0.250 0.250 0.250


Copy entry 2 word for word.
# PBEsol CaPd3O4, relaxed
# DOS at the Fermi energy: 0.141 states/eV per atom
# Final energy: -101.687 eV for the cell shown
data_CaPd3O4
_space_group_name_H-M_alt 'P m -3 n'
_space_group_IT_number 223
_space_group_name_Hall '-P 4n 2 3'
_cell_length_a 5.727
_cell_length_b 5.727
_cell_length_c 5.727
_cell_angle_alpha 90.00
_cell_angle_beta 90.00
_cell_angle_gamma 90.00
loop_
_atom_site_label
_atom_site_type_symbol
_atom_site_fract_x
_atom_site_fract_y
_atom_site_fract_z
Ca1 Ca 0.000 0.000 0.000
Pd1 Pd 0.000 0.250 0.500
O1 O 0.250 0.250 0.250


- What is the DOS at the Fermi energy in the second record?
  0.141 states/eV per atom